Entry 1:
## Nd5Y4Sc (PBE-GGA)

Data for Nd5Y4Sc after structural relaxation.

Cell lengths 18.6500, 3.5983, 10.1803 Å; angles 90.00, 105.80, 90.00 degrees
With the nearest neighbours (Å) after each atom.
Space group C2/m (No. 12)
Asymmetric unit:
Nd (0.0000, 0.0000, 0.0000) x2  8 Nd 3.58-3.64, 4 Y 3.64
Nd (0.0970, 0.5000, 0.3080) x4  2 Sc 3.50, 4 Y 3.52-3.66, 6 Nd 3.60-3.68
Nd (0.1998, 0.0000, 0.1009) x4  7 Nd 3.58-3.68, 5 Y 3.60-3.67
Y (0.0989, 0.5000, 0.7916) x4  6 Nd 3.52-3.67, 2 Sc 3.53, 4 Y 3.54-3.60
Y (0.1990, 0.0000, 0.5993) x4  6 Y 3.54-3.61, 5 Nd 3.55-3.66, 1 Sc 3.57
Sc (0.0000, 0.0000, 0.5000) x2  4 Nd 3.50, 6 Y 3.53-3.57, 2 Sc 3.60

Properties
Magnetic moment = 0.00 μB/f.u.
Final energy = -111.46 eV/cell
N(E_F) = 28.23 states/eV/cell
E_form = 0.03 eV per atom



Entry 2:
## Nd2Y6Sc (PBE-GGA)

Data for Nd2Y6Sc after structural relaxation.

Cell lengths 16.4487, 11.5914, 6.0854 Å; angles 90.00, 96.77, 90.00 degrees
With the nearest neighbours (Å) after each atom.
Space group C2/c (No. 15)
Asymmetric unit:
Nd (0.1712, 0.1036, 0.0630) x8  10 Y 3.45-3.85
Y (0.0492, 0.1412, 0.5108) x8  4 Y 3.33-3.65, 1 Sc 3.41, 4 Nd 3.47-3.73
Y (0.1080, 0.3676, 0.8280) x8  2 Sc 3.27-3.31, 5 Y 3.33-3.57, 2 Nd 3.48-3.63
Y (0.2050, 0.3631, 0.3633) x8  4 Y 3.35-3.50, 1 Sc 3.38, 3 Nd 3.45-3.53
Sc (0.0000, 0.3963, 0.2500) x4  8 Y 3.27-3.41

Properties
Magnetic moment = 0.00 μB/f.u.
Final energy = -215.01 eV/cell
N(E_F) = 55.79 states/eV/cell
E_form = 0.10 eV per atom



Entry 3:
## Nd7Y3Sc (PBE-GGA)

Data for Nd7Y3Sc after structural relaxation.

Cell lengths 12.7951, 11.4126, 5.8530 Å; angles 90.00, 117.19, 90.00 degrees
With the nearest neighbours (Å) after each atom.
Space group C2/m (No. 12)
Asymmetric unit:
Nd (0.0000, 0.0000, 0.0000) x2  2 Sc 2.93
Nd (0.1903, 0.2868, 0.6902) x8  3 Y 3.26-3.64, 3 Nd 3.33-3.44
Nd (0.2159, 0.5000, 0.2149) x4  1 Sc 3.23, 2 Y 3.38, 2 Nd 3.44
Y (0.0000, 0.2971, 0.0000) x4  9 Nd 3.38-3.65, 2 Y 3.73
Y (0.0000, 0.5000, 0.5000) x2  4 Nd 3.26
Sc (0.0000, 0.0000, 0.5000) x2  4 Nd 2.93-3.23

Properties
Magnetic moment = 0.00 μB/f.u.
Final energy = -113.25 eV/cell
N(E_F) = 28.69 states/eV/cell
E_form = 0.22 eV per atom



Entry 4:
## NdY6Sc (PBE-GGA)

Data for NdY6Sc after structural relaxation.

Cell lengths 9.6001, 9.6001, 9.5730 Å; angles 90.00, 90.00, 120.00 degrees
With the nearest neighbours (Å) after each atom.
Space group R-3 (No. 148, hexagonal axes)
Asymmetric unit:
Nd (0.0000, 0.0000, 0.0000) x3  12 Y 3.50-3.73
Y (0.0249, 0.2670, 0.7065) x18  1 Sc 3.15, 4 Y 3.28-3.47, 1 Nd 3.50
Sc (0.0000, 0.0000, 0.5000) x3  6 Y 3.15

Properties
Magnetic moment = 0.00 μB/f.u.
Final energy = -145.66 eV/cell
N(E_F) = 39.99 states/eV/cell
E_form = 0.17 eV per atom



Entry 5:
## Nd12Y5Sc2 (PBE-GGA)

Data for Nd12Y5Sc2 after structural relaxation.

Cell lengths 22.5290, 7.0618, 8.7682 Å; angles 90.00, 112.03, 90.00 degrees
With the nearest neighbours (Å) after each atom.
Space group C2/m (No. 12)
Asymmetric unit:
Nd (0.0487, 0.0000, 0.1991) x4  1 Y 3.35, 5 Nd 3.35-3.70, 2 Sc 3.62
Nd (0.1035, 0.2442, 0.8782) x8  1 Sc 3.26, 4 Y 3.42-3.54, 3 Nd 3.45-3.61
Nd (0.1321, 0.5000, 0.5315) x4  2 Sc 3.44, 4 Nd 3.55-3.79, 2 Y 3.57
Nd (0.2030, 0.2481, 0.2930) x8  6 Nd 3.45-3.70, 4 Y 3.52-3.77
Y (0.0000, 0.5000, 0.0000) x2  4 Nd 3.42
Y (0.1469, 0.0000, 0.5959) x4  7 Nd 3.35-3.62, 2 Sc 3.51, 1 Y 3.52
Y (0.2484, 0.5000, 0.9885) x4  9 Nd 3.52-3.88, 3 Y 3.52-3.54
Sc (0.0000, 0.2342, 0.5000) x4  6 Nd 3.26-3.62, 1 Sc 3.31, 2 Y 3.51

Properties
Magnetic moment = 0.00 μB/f.u.
Final energy = -198.80 eV/cell
N(E_F) = 58.30 states/eV/cell
E_form = 0.15 eV per atom



Entry 6:
## Nd3Y4Sc (PBE-GGA)

Data for Nd3Y4Sc after structural relaxation.

Cell lengths 3.4889, 11.6759, 12.9124 Å; angles 90.00, 90.00, 90.00 degrees
With the nearest neighbours (Å) after each atom.
Space group Immm (No. 71)
Asymmetric unit:
Nd (0.0000, 0.0000, 0.0000) x2  6 Nd 3.49-3.79, 8 Y 3.87
Nd (0.0000, 0.5000, 0.2398) x4  6 Y 3.42-3.60, 4 Nd 3.49-3.79, 2 Sc 3.55
Y (0.0000, 0.2429, 0.3669) x8  1 Sc 3.32, 3 Nd 3.42-3.60, 5 Y 3.44-3.49
Sc (0.0000, 0.0000, 0.5000) x2  4 Y 3.32, 2 Sc 3.49, 4 Nd 3.55

Properties
Magnetic moment = 0.00 μB/f.u.
Final energy = -90.86 eV/cell
N(E_F) = 25.12 states/eV/cell
E_form = 0.13 eV per atom



Entry 7:
## Nd3YSc2 (PBE-GGA)

Data for Nd3YSc2 after structural relaxation.

Cell lengths 14.5128, 9.8268, 5.5355 Å; angles 90.00, 90.00, 90.00 degrees
With the nearest neighbours (Å) after each atom.
Space group Cmcm (No. 63)
Asymmetric unit:
Nd (0.0000, 0.0912, 0.2500) x4  4 Nd 3.30-3.56, 3 Y 3.32-3.62, 2 Sc 3.45
Nd (0.2435, 0.1339, 0.2500) x8  2 Sc 3.14-3.37
Y (0.0000, 0.2775, 0.7500) x4  3 Nd 3.32-3.62, 6 Sc 3.40-3.44
Sc (0.1036, 0.4077, 0.2500) x8  3 Sc 3.01-3.31, 1 Nd 3.14

Properties
Magnetic moment = 0.00 μB/f.u.
Final energy = -127.40 eV/cell
N(E_F) = 43.13 states/eV/cell
E_form = 0.26 eV per atom



Entry 8:
## NdYSc (PBE-GGA)

Data for NdYSc after structural relaxation.

Cell lengths 20.5958, 3.4528, 5.1523 Å; angles 90.00, 90.00, 90.00 degrees
With the nearest neighbours (Å) after each atom.
Space group Cm (No. 8)
Asymmetric unit:
Nd (0.0000, 0.0000, 0.0000) x2  4 Nd 3.25-3.45, 1 Sc 3.33, 4 Y 3.53
Nd (0.0964, 0.0000, 0.4999) x2  4 Nd 3.25-3.45, 1 Sc 3.34, 4 Y 3.53
Y (0.1785, 0.5000, 0.9999) x2  5 Sc 3.29-3.51, 2 Y 3.45, 4 Nd 3.53
Y (0.4178, 0.0000, 0.5000) x2  5 Sc 3.29-3.51, 2 Y 3.45, 4 Nd 3.53
Sc (0.2583, 0.0000, 0.5005) x2  5 Y 3.29-3.51, 1 Nd 3.34, 6 Sc 3.45-3.52
Sc (0.3381, 0.5000, 0.9987) x2  5 Y 3.29-3.51, 1 Nd 3.33, 6 Sc 3.45-3.52

Properties
Magnetic moment = 0.00 μB/f.u.
Final energy = -69.04 eV/cell
N(E_F) = 21.61 states/eV/cell
E_form = 0.10 eV per atom



Entry 9:
## Nd5Y3Sc2 (PBE-GGA)

Data for Nd5Y3Sc2 after structural relaxation.

Cell lengths 9.4097, 9.4120, 9.4335 Å; angles 106.52, 106.91, 115.00 degrees
With the nearest neighbours (Å) after each atom.
Space group P-1 (No. 2)
Asymmetric unit:
Nd (0.0218, 0.0755, 0.3458) x2  5 Y 3.53-3.60, 2 Sc 3.54-3.55, 5 Nd 3.59-3.63
Nd (0.1297, 0.3794, 0.7506) x2  5 Nd 3.50-3.61, 3 Y 3.51-3.59, 4 Sc 3.51-3.53
Nd (0.2289, 0.6762, 0.1549) x2  5 Y 3.54-3.59, 5 Nd 3.54-3.63, 2 Sc 3.55-3.56
Nd (0.3790, 0.1281, 0.2493) x2  6 Y 3.51-3.64, 4 Nd 3.51-3.61, 2 Sc 3.56-3.58
Nd (0.4728, 0.4284, 0.6521) x2  6 Nd 3.50-3.61, 4 Sc 3.54-3.66, 2 Y 3.54-3.62
Y (0.0777, 0.2285, 0.0527) x2  8 Nd 3.53-3.62, 2 Sc 3.57, 2 Y 3.59-3.61
Y (0.2761, 0.8215, 0.8487) x2  5 Nd 3.51-3.59, 4 Sc 3.52-3.61, 3 Y 3.53-3.59
Y (0.3231, 0.9733, 0.5535) x2  8 Nd 3.53-3.64, 2 Y 3.53-3.63, 2 Sc 3.54-3.55
Sc (0.1683, 0.5232, 0.4504) x2  1 Sc 3.45, 7 Nd 3.51-3.66, 4 Y 3.52-3.57
Sc (0.4260, 0.2768, 0.9490) x2  7 Nd 3.53-3.56, 4 Y 3.53-3.61, 1 Sc 3.53

Properties
Magnetic moment = 0.00 μB/f.u.
Final energy = -110.94 eV/cell
N(E_F) = 29.27 states/eV/cell
E_form = 0.04 eV per atom



Entry 10:
## Nd4Y3Sc2 (PBE-GGA)

Data for Nd4Y3Sc2 after structural relaxation.

Cell lengths 9.6059, 16.8697, 7.0386 Å; angles 90.00, 90.00, 90.00 degrees
With the nearest neighbours (Å) after each atom.
Space group Cccm (No. 66)
Asymmetric unit:
Nd (0.1662, 0.0133, 0.0000) x8  1 Sc 3.17, 4 Nd 3.22-3.55
Nd (0.1731, 0.3390, 0.5000) x8  3 Sc 3.21-3.53, 2 Nd 3.32-3.35
Y (0.0000, 0.1753, 0.2500) x8  4 Sc 3.47-3.70, 2 Y 3.52, 6 Nd 3.61-3.67
Y (0.0000, 0.5000, 0.2500) x4  2 Y 3.52, 8 Nd 3.64-3.66, 4 Sc 3.74
Sc (0.1606, 0.3269, 0.0000) x8  1 Sc 3.11, 2 Nd 3.17-3.21, 2 Y 3.47

Properties
Magnetic moment = 0.00 μB/f.u.
Final energy = -202.48 eV/cell
N(E_F) = 53.81 states/eV/cell
E_form = 0.06 eV per atom



Entry 11:
## NdY2Sc2 (PBE-GGA)

Data for NdY2Sc2 after structural relaxation.

Cell lengths 5.4889, 6.7798, 16.2353 Å; angles 90.00, 90.00, 90.00 degrees
With the nearest neighbours (Å) after each atom.
Space group Imma (No. 74)
Asymmetric unit:
Nd (0.0000, 0.2500, 0.1272) x4  4 Y 3.39, 6 Sc 3.40-3.41
Y (0.0000, 0.2500, 0.4957) x4  4 Y 3.39-3.43, 2 Nd 3.39, 4 Sc 3.51-3.60
Y (0.0000, 0.2500, 0.8770) x4  2 Nd 3.39, 6 Sc 3.40-3.43, 2 Y 3.43
Sc (0.0000, 0.0047, 0.6926) x8  4 Sc 3.32-3.45, 3 Nd 3.40-3.41, 5 Y 3.40-3.60

Properties
Magnetic moment = 0.00 μB/f.u.
Final energy = -118.91 eV/cell
N(E_F) = 35.67 states/eV/cell
E_form = 0.13 eV per atom



Entry 12:
## Nd2Y12Sc (PBE-GGA)

Data for Nd2Y12Sc after structural relaxation.

Cell lengths 7.0763, 11.3703, 24.7414 Å; angles 90.00, 90.00, 90.00 degrees
With the nearest neighbours (Å) after each atom.
Space group Cmme (No. 67)
Asymmetric unit:
Nd (0.0000, 0.2500, 0.2349) x4  2 Nd 3.54, 8 Y 3.67-3.77
Nd (0.0000, 0.2500, 0.7649) x4  2 Nd 3.54, 8 Y 3.67-3.77
Y (0.0000, 0.0000, 0.4275) x8  2 Sc 3.36, 9 Y 3.51-3.59
Y (0.0000, 0.0007, 0.0621) x8  7 Y 3.07-3.40
Y (0.2494, 0.2500, 0.9143) x8  8 Y 3.39-3.59
Y (0.2500, 0.0000, 0.1745) x8  7 Y 3.22-3.59
Y (0.2500, 0.0000, 0.3048) x8  7 Y 3.22-3.54
Y (0.2500, 0.2500, 0.3787) x8  8 Y 3.38-3.56, 2 Sc 3.48
Sc (0.0000, 0.2500, 0.5000) x4  8 Y 3.36-3.48, 2 Sc 3.54

Properties
Magnetic moment = 0.00 μB/f.u.
Final energy = -363.48 eV/cell
N(E_F) = 104.50 states/eV/cell
E_form = 0.17 eV per atom



Entry 13:
## Nd2Y3Sc2 (PBE-GGA)

Data for Nd2Y3Sc2 after structural relaxation.

Cell lengths 16.9984, 3.4348, 8.5799 Å; angles 90.00, 118.99, 90.00 degrees
With the nearest neighbours (Å) after each atom.
Space group C2/m (No. 12)
Asymmetric unit:
Nd (0.1395, 0.0000, 0.3111) x4  2 Nd 3.43, 4 Y 3.46-3.83, 4 Sc 3.49-3.50
Y (0.0000, 0.0000, 0.5000) x2  4 Y 3.27-3.43, 2 Nd 3.46, 4 Sc 3.56
Y (0.2116, 0.0000, 0.8084) x4  5 Y 3.27-3.43, 3 Sc 3.38-3.46, 2 Nd 3.59
Sc (0.0645, 0.5000, 0.9076) x4  3 Sc 3.27-3.43, 5 Y 3.38-3.56, 4 Nd 3.49-3.50

Properties
Magnetic moment = 0.00 μB/f.u.
Final energy = -81.36 eV/cell
N(E_F) = 23.18 states/eV/cell
E_form = 0.13 eV per atom



Entry 14:
## NdY6Sc4 (PBE-GGA)

Data for NdY6Sc4 after structural relaxation.

Cell lengths 8.7256, 8.7256, 5.2885 Å; angles 90.00, 90.00, 120.00 degrees
With the nearest neighbours (Å) after each atom.
Space group P-6m2 (No. 187)
Asymmetric unit:
Nd (0.0000, 0.0000, 0.0000) x1  12 Y 4.02-4.39, 6 Sc 4.18
Y (0.2001, 0.4003, 0.5000) x3  4 Sc 3.14-3.32, 2 Y 3.49
Y (0.5336, 0.0672, 0.0000) x3  5 Sc 3.03-3.26
Sc (0.3333, 0.6667, 0.0000) x1  9 Y 3.03-3.32
Sc (0.4288, 0.2144, 0.5000) x3  2 Sc 3.11, 6 Y 3.14-3.26

Properties
Magnetic moment = 0.00 μB/f.u.
Final energy = -65.51 eV/cell
N(E_F) = 18.93 states/eV/cell
E_form = 0.31 eV per atom



Entry 15:
## Nd4Y5Sc2 (PBE-GGA)

Data for Nd4Y5Sc2 after structural relaxation.

Cell lengths 23.7891, 3.5196, 8.5772 Å; angles 90.00, 95.01, 90.00 degrees
With the nearest neighbours (Å) after each atom.
Space group C2/m (No. 12)
Asymmetric unit:
Nd (0.0383, 0.0000, 0.3474) x4  3 Nd 3.32-3.52, 4 Sc 3.47-3.59, 4 Y 3.50-3.56
Nd (0.2240, 0.5000, 0.8239) x4  1 Sc 3.32, 6 Y 3.51-3.58, 4 Nd 3.52-3.62
Y (0.0000, 0.5000, 0.0000) x2  2 Sc 3.47, 4 Nd 3.51, 6 Y 3.52-3.53
Y (0.1293, 0.0000, 0.0393) x4  2 Sc 3.49, 4 Nd 3.51-3.58, 5 Y 3.52-3.83
Y (0.1823, 0.0000, 0.4744) x4  4 Nd 3.50-3.54, 5 Y 3.52-3.83, 2 Sc 3.54
Sc (0.0879, 0.5000, 0.6975) x4  5 Nd 3.32-3.59, 5 Y 3.47-3.54, 2 Sc 3.52

Properties
Magnetic moment = 0.00 μB/f.u.
Final energy = -125.58 eV/cell
N(E_F) = 35.52 states/eV/cell
E_form = 0.11 eV per atom



Entry 16:
## Nd2Y4Sc (PBE-GGA)

Data for Nd2Y4Sc after structural relaxation.

Cell lengths 8.7795, 10.6108, 5.0897 Å; angles 90.00, 90.00, 90.00 degrees
With the nearest neighbours (Å) after each atom.
Space group Cmmm (No. 65)
Asymmetric unit:
Nd (0.0000, 0.1984, 0.0000) x4  2 Sc 3.30, 8 Y 3.36-3.66
Y (0.2014, 0.5000, 0.0000) x4  4 Nd 3.36-3.66, 5 Y 3.54-3.70, 2 Sc 3.65
Y (0.2500, 0.2500, 0.5000) x4  4 Nd 3.40, 2 Sc 3.44, 4 Y 3.70
Sc (0.0000, 0.0000, 0.5000) x2  4 Nd 3.30, 8 Y 3.44-3.65

Properties
Magnetic moment = 0.00 μB/f.u.
Final energy = -80.36 eV/cell
N(E_F) = 19.01 states/eV/cell
E_form = 0.22 eV per atom



Entry 17:
## NdYSc4 (PBE-GGA)

Data for NdYSc4 after structural relaxation.

Cell lengths 5.3461, 6.5938, 9.2931 Å; angles 90.00, 90.00, 90.00 degrees
With the nearest neighbours (Å) after each atom.
Space group Immm (No. 71)
Asymmetric unit:
Nd (0.0000, 0.0000, 0.0000) x2  2 Y 3.30, 12 Sc 3.50-3.51
Y (0.0000, 0.5000, 0.0000) x2  2 Nd 3.30, 12 Sc 3.50-3.51
Sc (0.0000, 0.2495, 0.3332) x8  5 Sc 3.09-3.30

Properties
Magnetic moment = 0.00 μB/f.u.
Final energy = -72.28 eV/cell
N(E_F) = 21.03 states/eV/cell
E_form = 0.07 eV per atom



Entry 18:
## Nd3Y8Sc (PBE-GGA)

Data for Nd3Y8Sc after structural relaxation.

Cell lengths 8.7454, 8.7454, 11.3918 Å; angles 90.00, 90.00, 90.00 degrees
With the nearest neighbours (Å) after each atom.
Space group I-42m (No. 121)
Asymmetric unit:
Nd (0.0000, 0.0000, 0.0000) x2  8 Y 3.31-3.35
Nd (0.0000, 0.5000, 0.2500) x4  4 Y 3.45
Y (0.1261, 0.1261, 0.7395) x8  3 Y 3.12-3.30, 1 Sc 3.14, 3 Nd 3.35-3.45
Y (0.2335, 0.2335, 0.4747) x8  1 Sc 2.90, 1 Y 3.19
Sc (0.0000, 0.0000, 0.5000) x2  8 Y 2.90-3.14

Properties
Magnetic moment = 0.00 μB/f.u.
Final energy = -130.44 eV/cell
N(E_F) = 39.60 states/eV/cell
E_form = 0.59 eV per atom



Entry 19:
## NdYSc (PBE-GGA)

Data for NdYSc after structural relaxation.

Cell lengths 3.5347, 3.5347, 14.6816 Å; angles 90.00, 90.00, 90.00 degrees
With the nearest neighbours (Å) after each atom.
Space group I4mm (No. 107)
Asymmetric unit:
Nd (0.0000, 0.0000, 0.0000) x2  4 Sc 3.45, 4 Nd 3.53, 4 Y 3.63
Y (0.0000, 0.0000, 0.6793) x2  4 Sc 3.42, 4 Y 3.53, 4 Nd 3.63
Sc (0.0000, 0.0000, 0.3385) x2  4 Y 3.42, 4 Nd 3.45, 4 Sc 3.53

Properties
Magnetic moment = 0.00 μB/f.u.
Final energy = -34.80 eV/cell
N(E_F) = 10.02 states/eV/cell
E_form = 0.05 eV per atom